## Na2CrSiSe4 (PBE)

Data for Na2CrSiSe4 after structural relaxation.

The structure in CIF format:
```
data_Na2CrSiSe4
_cell_length_a 9.9241
_cell_length_b 7.7401
_cell_length_c 7.1464
_cell_angle_alpha 90.00
_cell_angle_beta 133.67
_cell_angle_gamma 90.00
_symmetry_space_group_name_H-M 'C 1 2 1'
_symmetry_Int_Tables_number 5
loop_
_symmetry_equiv_pos_as_xyz
'x,y,z'
'-x,y,-z'
'x+1/2,y+1/2,z'
'-x+1/2,y+1/2,-z'
loop_
_atom_site_label
_atom_site_type_symbol
_atom_site_fract_x
_atom_site_fract_y
_atom_site_fract_z
Na1 Na 0.0000 0.0000 0.0000
Na2 Na 0.0000 0.3015 0.5000
Cr1 Cr 0.0000 0.5365 0.0000
Si1 Si 0.0000 0.8008 0.5000
Se1 Se 0.1717 0.6435 0.8787
Se2 Se 0.2100 0.9698 0.5398
```

Summary:
ΔE_f (raw) = -5.49 eV per formula unit
Energy = -74.22 eV/cell


## Na3SmCr2Se6 (PBE)

Data for Na3SmCr2Se6 after structural relaxation.

The structure in CIF format:
```
data_Na3SmCr2Se6
_cell_length_a 6.7588
_cell_length_b 11.7153
_cell_length_c 7.3719
_cell_angle_alpha 90.00
_cell_angle_beta 108.17
_cell_angle_gamma 90.00
_symmetry_space_group_name_H-M 'C 1 2/m 1'
_symmetry_Int_Tables_number 12
loop_
_symmetry_equiv_pos_as_xyz
'x,y,z'
'-x,-y,-z'
'-x,y,-z'
'x,-y,z'
'x+1/2,y+1/2,z'
'-x+1/2,-y+1/2,-z'
'-x+1/2,y+1/2,-z'
'x+1/2,-y+1/2,z'
loop_
_atom_site_label
_atom_site_type_symbol
_atom_site_fract_x
_atom_site_fract_y
_atom_site_fract_z
Na1 Na 0.0000 0.0000 0.0000
Na2 Na 0.0000 0.3409 0.0000
Sm1 Sm 0.0000 0.5000 0.5000
Cr1 Cr 0.0000 0.1675 0.5000
Se1 Se 0.2040 0.0000 0.7117
Se2 Se 0.2443 0.1841 0.2887
```

Summary:
ΔE_f (raw) = -12.75 eV per formula unit
Energy = -123.16 eV/cell


## Na2SmCrSe4 (PBE)

Data for Na2SmCrSe4 after structural relaxation.

The structure in CIF format:
```
data_Na2SmCrSe4
_cell_length_a 6.9001
_cell_length_b 4.0237
_cell_length_c 7.3882
_cell_angle_alpha 90.00
_cell_angle_beta 108.50
_cell_angle_gamma 90.00
_symmetry_space_group_name_H-M 'P 1 2/m 1'
_symmetry_Int_Tables_number 10
loop_
_symmetry_equiv_pos_as_xyz
'x,y,z'
'-x,-y,-z'
'-x,y,-z'
'x,-y,z'
loop_
_atom_site_label
_atom_site_type_symbol
_atom_site_fract_x
_atom_site_fract_y
_atom_site_fract_z
Na1 Na 0.0000 0.0000 0.0000
Na2 Na 0.5000 0.5000 0.0000
Sm1 Sm 0.0000 0.5000 0.5000
Cr1 Cr 0.5000 0.0000 0.5000
Se1 Se 0.2696 0.0000 0.7267
Se2 Se 0.2924 0.5000 0.2912
```

Summary:
ΔE_f (raw) = -9.43 eV per formula unit
Energy = -40.35 eV/cell


## Na2CrSnSe4 (PBE)

Data for Na2CrSnSe4 after structural relaxation.

The structure in CIF format:
```
data_Na2CrSnSe4
_cell_length_a 6.5858
_cell_length_b 6.5887
_cell_length_c 7.4019
_cell_angle_alpha 116.36
_cell_angle_beta 116.35
_cell_angle_gamma 90.03
_symmetry_space_group_name_H-M 'P 1'
_symmetry_Int_Tables_number 1
loop_
_symmetry_equiv_pos_as_xyz
'x,y,z'
loop_
_atom_site_label
_atom_site_type_symbol
_atom_site_fract_x
_atom_site_fract_y
_atom_site_fract_z
Na1 Na 0.0000 0.0000 0.0000
Na2 Na 0.2502 0.7500 0.4999
Cr1 Cr 0.7502 0.2500 0.4998
Sn1 Sn 0.4998 0.4999 0.9999
Se1 Se 0.0792 0.1567 0.7217
Se2 Se 0.4351 0.9212 0.2776
Se3 Se 0.6432 0.5652 0.7220
Se4 Se 0.8434 0.3573 0.2778
```

Summary:
ΔE_f (raw) = -4.81 eV per formula unit
Energy = -35.01 eV/cell
D(E_F) = 0.2089 states/eV per atom


## Na3TaCr3Se8 (PBE)

Data for Na3TaCr3Se8 after structural relaxation.

The structure in CIF format:
```
data_Na3TaCr3Se8
_cell_length_a 7.5018
_cell_length_b 7.5018
_cell_length_c 20.9325
_cell_angle_alpha 90.00
_cell_angle_beta 90.00
_cell_angle_gamma 120.00
_symmetry_space_group_name_H-M 'R -3 m'
_symmetry_Int_Tables_number 166
_symmetry_space_group_name_Hall '-R 3 2"'
loop_
_atom_site_label
_atom_site_type_symbol
_atom_site_fract_x
_atom_site_fract_y
_atom_site_fract_z
Na1 Na 0.0000 0.5000 0.0000
Ta1 Ta 0.0000 0.0000 0.5000
Cr1 Cr 0.0000 0.5000 0.5000
Se1 Se 0.0000 0.0000 0.2332
Se2 Se 0.0057 0.5028 0.7653
```

Summary:
ΔE_f (raw) = -11.55 eV per formula unit
Energy = -252.30 eV/cell
D(E_F) = 0.2518 states/eV per atom


## Na2Ta2CrSe6 (PBE)

Data for Na2Ta2CrSe6 after structural relaxation.

The structure in CIF format:
```
data_Na2Ta2CrSe6
_cell_length_a 6.2505
_cell_length_b 10.8929
_cell_length_c 7.6071
_cell_angle_alpha 90.00
_cell_angle_beta 103.39
_cell_angle_gamma 90.00
_symmetry_space_group_name_H-M 'C 1 2/m 1'
_symmetry_Int_Tables_number 12
loop_
_symmetry_equiv_pos_as_xyz
'x,y,z'
'-x,-y,-z'
'-x,y,-z'
'x,-y,z'
'x+1/2,y+1/2,z'
'-x+1/2,-y+1/2,-z'
'-x+1/2,y+1/2,-z'
'x+1/2,-y+1/2,z'
loop_
_atom_site_label
_atom_site_type_symbol
_atom_site_fract_x
_atom_site_fract_y
_atom_site_fract_z
Na1 Na 0.0000 0.1822 0.0000
Ta1 Ta 0.0000 0.3661 0.5000
Cr1 Cr 0.0000 0.0000 0.5000
Se1 Se 0.2163 0.1693 0.6954
Se2 Se 0.2424 0.0000 0.2652
```

Summary:
ΔE_f (raw) = -8.91 eV per formula unit
Energy = -131.56 eV/cell
D(E_F) = 0.1628 states/eV per atom


## Na3Th3CrSe8 (PBE)

Data for Na3Th3CrSe8 after structural relaxation.

The structure in CIF format:
```
data_Na3Th3CrSe8
_cell_length_a 8.3304
_cell_length_b 8.3304
_cell_length_c 21.3060
_cell_angle_alpha 90.00
_cell_angle_beta 90.00
_cell_angle_gamma 120.00
_symmetry_space_group_name_H-M 'R -3 m'
_symmetry_Int_Tables_number 166
_symmetry_space_group_name_Hall '-R 3 2"'
loop_
_atom_site_label
_atom_site_type_symbol
_atom_site_fract_x
_atom_site_fract_y
_atom_site_fract_z
Na1 Na 0.0000 0.5000 0.0000
Th1 Th 0.0000 0.5000 0.5000
Cr1 Cr 0.0000 0.0000 0.5000
Se1 Se 0.0000 0.0000 0.2486
Se2 Se 0.0148 0.5074 0.2403
```

Summary:
ΔE_f (raw) = -20.10 eV per formula unit
Energy = -251.45 eV/cell
D(E_F) = 0.5516 states/eV per atom


## Na2TiCr2Se6 (PBE)

Data for Na2TiCr2Se6 after structural relaxation.

The structure in CIF format:
```
data_Na2TiCr2Se6
_cell_length_a 6.3667
_cell_length_b 11.0115
_cell_length_c 7.4324
_cell_angle_alpha 90.00
_cell_angle_beta 106.52
_cell_angle_gamma 90.00
_symmetry_space_group_name_H-M 'C 1 2/m 1'
_symmetry_Int_Tables_number 12
loop_
_symmetry_equiv_pos_as_xyz
'x,y,z'
'-x,-y,-z'
'-x,y,-z'
'x,-y,z'
'x+1/2,y+1/2,z'
'-x+1/2,-y+1/2,-z'
'-x+1/2,y+1/2,-z'
'x+1/2,-y+1/2,z'
loop_
_atom_site_label
_atom_site_type_symbol
_atom_site_fract_x
_atom_site_fract_y
_atom_site_fract_z
Na1 Na 0.0000 0.1657 0.0000
Ti1 Ti 0.0000 0.0000 0.5000
Cr1 Cr 0.0000 0.3321 0.5000
Se1 Se 0.2291 0.5000 0.7018
Se2 Se 0.2366 0.1682 0.7023
```

Summary:
ΔE_f (raw) = -9.82 eV per formula unit
Energy = -121.01 eV/cell
D(E_F) = 0.0160 states/eV per atom


## Na3TiCr2Se6 (PBE)

Data for Na3TiCr2Se6 after structural relaxation.

The structure in CIF format:
```
data_Na3TiCr2Se6
_cell_length_a 6.5765
_cell_length_b 11.3886
_cell_length_c 7.2170
_cell_angle_alpha 90.00
_cell_angle_beta 107.68
_cell_angle_gamma 90.00
_symmetry_space_group_name_H-M 'C 1 2/m 1'
_symmetry_Int_Tables_number 12
loop_
_symmetry_equiv_pos_as_xyz
'x,y,z'
'-x,-y,-z'
'-x,y,-z'
'x,-y,z'
'x+1/2,y+1/2,z'
'-x+1/2,-y+1/2,-z'
'-x+1/2,y+1/2,-z'
'x+1/2,-y+1/2,z'
loop_
_atom_site_label
_atom_site_type_symbol
_atom_site_fract_x
_atom_site_fract_y
_atom_site_fract_z
Na1 Na 0.0000 0.0000 0.0000
Na2 Na 0.0000 0.3343 0.0000
Ti1 Ti 0.0000 0.5000 0.5000
Cr1 Cr 0.0000 0.1668 0.5000
Se1 Se 0.2302 0.0000 0.7038
Se2 Se 0.2367 0.3312 0.7038
```

Summary:
ΔE_f (raw) = -10.91 eV per formula unit
Energy = -125.82 eV/cell
D(E_F) = 0.5923 states/eV per atom


## Na4TiCr3Se8 (PBE)

Data for Na4TiCr3Se8 after structural relaxation.

The structure in CIF format:
```
data_Na4TiCr3Se8
_cell_length_a 7.5932
_cell_length_b 7.5932
_cell_length_c 20.5462
_cell_angle_alpha 90.00
_cell_angle_beta 90.00
_cell_angle_gamma 120.00
_symmetry_space_group_name_H-M 'R -3 m'
_symmetry_Int_Tables_number 166
_symmetry_space_group_name_Hall '-R 3 2"'
loop_
_atom_site_label
_atom_site_type_symbol
_atom_site_fract_x
_atom_site_fract_y
_atom_site_fract_z
Na1 Na 0.0000 0.0000 0.0000
Na2 Na 0.0000 0.5000 0.0000
Ti1 Ti 0.0000 0.0000 0.5000
Cr1 Cr 0.0000 0.5000 0.5000
Se1 Se 0.0000 0.0000 0.2333
Se2 Se 0.0033 0.5016 0.7656
```

Summary:
ΔE_f (raw) = -14.23 eV per formula unit
Energy = -252.43 eV/cell
D(E_F) = 0.2516 states/eV per atom


## Na4Tm3CrSe8 (PBE)

Data for Na4Tm3CrSe8 after structural relaxation.

The structure in CIF format:
```
data_Na4Tm3CrSe8
_cell_length_a 8.0289
_cell_length_b 8.0289
_cell_length_c 20.9901
_cell_angle_alpha 90.00
_cell_angle_beta 90.00
_cell_angle_gamma 120.00
_symmetry_space_group_name_H-M 'R -3 m'
_symmetry_Int_Tables_number 166
_symmetry_space_group_name_Hall '-R 3 2"'
loop_
_atom_site_label
_atom_site_type_symbol
_atom_site_fract_x
_atom_site_fract_y
_atom_site_fract_z
Na1 Na 0.0000 0.0000 0.0000
Na2 Na 0.0000 0.5000 0.0000
Tm1 Tm 0.0000 0.5000 0.5000
Cr1 Cr 0.0000 0.0000 0.5000
Se1 Se 0.0000 0.0000 0.2431
Se2 Se 0.0197 0.5099 0.2394
```

Summary:
ΔE_f (raw) = -23.08 eV per formula unit
Energy = -237.82 eV/cell